! ReNiMo2Au (PBE, relaxed); values from VASP
! Calculated formation energy ... 1.36 eV/atom
! Total energy ... -7.2725 eV per atom
&SYSTEM
  ibrav = 0, nat = 5, ntyp = 4
/
ATOMIC_SPECIES
Au 196.97 Au.upf
Re 186.21 Re.upf
Mo 95.94 Mo.upf
Ni 58.69 Ni.upf
CELL_PARAMETERS angstrom
4.441 0.000 0.000
0.000 4.452 0.000
0.000 0.000 4.441
ATOMIC_POSITIONS crystal
Au 0.500 0.500 0.500
Re 0.000 0.500 0.000
Mo 0.000 0.000 0.500
Mo 0.500 0.000 0.000
Ni 0.000 0.000 0.000